Entry 1:
{"formula": "KCO2", "functional": "PBE", "state": "optimized geometry", "lattice": [[2.064, 0.000, 5.771], [-1.032, 1.788, 5.771], [-1.032, -1.788, 5.771]], "species": ["K", "C", "O", "O"], "frac_coords": [[0.500, 0.500, 0.500], [0.000, 0.000, 0.000], [0.929, 0.929, 0.929], [0.071, 0.071, 0.071]], "crystal_system": "trigonal", "total_magnetization_mub_per_atom": 0.187, "spacegroup": "R-3m (166)", "volume_a3_per_cell": 64, "e_form_raw_mev_per_atom": -742}



Entry 2:
{"formula": "K4C2O9", "functional": "PBE", "state": "optimized geometry", "lattice": [[-8.088, 1.703, 3.805], [1.693, -7.024, 5.531], [0.463, 1.973, 7.354]], "species": ["K", "K", "K", "K", "K", "K", "K", "K", "C", "C", "C", "C", "O", "O", "O", "O", "O", "O", "O", "O", "O", "O", "O", "O", "O", "O", "O", "O", "O", "O"], "frac_coords": [[0.779, 0.221, 0.750], [0.221, 0.779, 0.250], [0.210, 0.790, 0.750], [0.790, 0.210, 0.250], [0.421, 0.279, 0.601], [0.579, 0.721, 0.399], [0.721, 0.579, 0.899], [0.279, 0.421, 0.101], [0.566, 0.884, 0.816], [0.434, 0.116, 0.184], [0.116, 0.434, 0.684], [0.884, 0.566, 0.316], [0.592, 0.028, 0.662], [0.408, 0.972, 0.338], [0.972, 0.408, 0.838], [0.028, 0.592, 0.162], [0.360, 0.134, 0.066], [0.640, 0.866, 0.934], [0.866, 0.640, 0.434], [0.134, 0.360, 0.566], [0.064, 0.000, 0.926], [0.936, 0.000, 0.074], [0.000, 0.936, 0.574], [0.000, 0.064, 0.426], [0.577, 0.423, 0.750], [0.423, 0.577, 0.250], [0.464, 0.758, 0.851], [0.536, 0.242, 0.149], [0.242, 0.536, 0.649], [0.758, 0.464, 0.351]], "crystal_system": "monoclinic", "total_magnetization_mub_per_atom": 0.267, "spacegroup": "C2/c (15)", "volume_a3_per_cell": 514, "e_form_raw_mev_per_atom": -1244}



Entry 3:
{"formula": "K2C2O5", "functional": "PBE", "state": "optimized geometry", "lattice": [[-3.946, -1.906, -0.757], [1.274, 0.013, 6.393], [-2.295, 4.789, -0.093]], "species": ["K", "K", "C", "C", "O", "O", "O", "O", "O"], "frac_coords": [[0.354, 0.708, 0.592], [0.646, 0.292, 0.408], [0.112, 0.224, 0.943], [0.888, 0.776, 0.057], [0.182, 0.364, 0.133], [0.818, 0.636, 0.867], [0.124, 0.249, 0.711], [0.876, 0.751, 0.289], [0.000, 0.000, 0.000]], "crystal_system": "monoclinic", "total_magnetization_mub_per_atom": 0.000, "spacegroup": "C2/m (12)", "volume_a3_per_cell": 144, "e_form_raw_mev_per_atom": -1473}



Q: Which formula does entry 3 have?
A: K2C2O5



Q: What is the formula in the first record?
A: KCO2



Q: What is the formula in the third record?
A: K2C2O5